Entry 1:
# Pm3SmYEr | Alexandria via LeMat-Bulk | GGA-PBE | relaxed
# Theoretical density = 7.0 g cm⁻³
# Raw total energy = -4.9813 eV/atom
data_Pm3SmYEr
_cell_length_a 8.0687
_cell_length_b 5.1140
_cell_length_c 10.2002
_cell_angle_alpha 90.00
_cell_angle_beta 108.46
_cell_angle_gamma 90.00
_space_group_name_H-M_alt 'P 1 21/m 1'
_space_group_IT_number 11
loop_
_space_group_symop_operation_xyz
'x,y,z'
'-x,-y,-z'
'-x,y+1/2,-z'
'x,-y+1/2,z'
loop_
_atom_site_label
_atom_site_type_symbol
_atom_site_fract_x
_atom_site_fract_y
_atom_site_fract_z
_atom_site_occupancy
Pm1 Pm 0.1666 0.2500 0.0426 1
Pm2 Pm 0.1688 0.2500 0.5413 1
Pm3 Pm 0.1688 0.7500 0.7908 1
Sm1 Sm 0.4986 0.7500 0.1268 1
Y1 Y 0.1693 0.7500 0.2937 1
Er1 Er 0.4995 0.2500 0.3774 1

Entry 2:
# K2Tl7Ag | Alexandria via LeMat-Bulk | GGA-PBE | relaxed
# Theoretical density = 6.7 g cm⁻³
# Raw total energy = -2.0152 eV/atom
data_K2Tl7Ag
_cell_length_a 11.6748
_cell_length_b 11.6748
_cell_length_c 11.6748
_cell_angle_alpha 90.00
_cell_angle_beta 90.00
_cell_angle_gamma 90.00
_space_group_name_H-M_alt 'F m -3 m'
_space_group_IT_number 225
_space_group_name_Hall '-F 4 2 3'
loop_
_atom_site_label
_atom_site_type_symbol
_atom_site_fract_x
_atom_site_fract_y
_atom_site_fract_z
_atom_site_occupancy
K1 K 0.2500 0.2500 0.2500 1
Tl1 Tl 0.0000 0.0000 0.0000 1
Tl2 Tl 0.0000 0.0000 0.2584 1
Ag1 Ag 0.0000 0.0000 0.5000 1

Entry 3:
# Li2LuAl | Alexandria via LeMat-Bulk | GGA-PBE | relaxed
# Theoretical density = 4.9 g cm⁻³
# Polymorph energy (0 for the lowest one) = 0.0000 eV/atom
data_Li2LuAl
_cell_length_a 6.6204
_cell_length_b 6.6204
_cell_length_c 6.6204
_cell_angle_alpha 90.00
_cell_angle_beta 90.00
_cell_angle_gamma 90.00
_space_group_name_H-M_alt 'F m -3 m'
_space_group_IT_number 225
_space_group_name_Hall '-F 4 2 3'
loop_
_atom_site_label
_atom_site_type_symbol
_atom_site_fract_x
_atom_site_fract_y
_atom_site_fract_z
_atom_site_occupancy
Li1 Li 0.2500 0.2500 0.2500 1
Lu1 Lu 0.0000 0.0000 0.0000 1
Al1 Al 0.0000 0.0000 0.5000 1

Entry 4:
# ScBe4Os | Alexandria via LeMat-Bulk | GGA-PBE | relaxed
# Theoretical density = 6.9 g cm⁻³
# Raw total energy = -5.7656 eV/atom
data_ScBe4Os
_cell_length_a 6.3844
_cell_length_b 6.3844
_cell_length_c 6.3844
_cell_angle_alpha 90.00
_cell_angle_beta 90.00
_cell_angle_gamma 90.00
_space_group_name_H-M_alt 'F -4 3 m'
_space_group_IT_number 216
_space_group_name_Hall 'F -4 2 3'
loop_
_atom_site_label
_atom_site_type_symbol
_atom_site_fract_x
_atom_site_fract_y
_atom_site_fract_z
_atom_site_occupancy
Sc1 Sc 0.0000 0.0000 0.0000 1
Be1 Be 0.1226 0.1226 0.6226 1
Os1 Os 0.2500 0.2500 0.2500 1

Entry 5:
# RbAc4Tl3O12 | Alexandria via LeMat-Bulk | GGA-PBE | relaxed
# Theoretical density = 7.9 g cm⁻³
# ΔE_f (raw) = -1.9038 eV per atom
data_RbAc4Tl3O12
_cell_length_a 9.1072
_cell_length_b 9.1072
_cell_length_c 9.1072
_cell_angle_alpha 90.00
_cell_angle_beta 90.00
_cell_angle_gamma 90.00
_space_group_name_H-M_alt 'I m -3'
_space_group_IT_number 204
_space_group_name_Hall '-I 2 2 3'
loop_
_atom_site_label
_atom_site_type_symbol
_atom_site_fract_x
_atom_site_fract_y
_atom_site_fract_z
_atom_site_occupancy
Rb1 Rb 0.0000 0.0000 0.0000 1
Ac1 Ac 0.2500 0.2500 0.2500 1
Tl1 Tl 0.0000 0.0000 0.5000 1
O1 O 0.0000 0.1637 0.3257 1

Entry 6:
# Mg3ZnAg6 | Alexandria via LeMat-Bulk | GGA-PBE | relaxed
# Theoretical density = 7.0 g cm⁻³
# Polymorph energy (0 for the lowest one) = 0.0761 eV/atom
data_Mg3ZnAg6
_cell_length_a 10.2587
_cell_length_b 10.2587
_cell_length_c 12.2828
_cell_angle_alpha 90.00
_cell_angle_beta 90.00
_cell_angle_gamma 120.00
_space_group_name_H-M_alt 'R -3'
_space_group_IT_number 148
_space_group_name_Hall '-R 3'
loop_
_atom_site_label
_atom_site_type_symbol
_atom_site_fract_x
_atom_site_fract_y
_atom_site_fract_z
_atom_site_occupancy
Mg1 Mg 0.0163 0.4378 0.2061 1
Zn1 Zn 0.0000 0.0000 0.0000 1
Zn2 Zn 0.0000 0.0000 0.5000 1
Ag1 Ag 0.0356 0.1834 0.3158 1
Ag2 Ag 0.0698 0.8134 0.9173 1

Entry 7:
# SrTe2O | Alexandria via LeMat-Bulk | GGA-PBE | relaxed
# Theoretical density = 5.2 g cm⁻³
# ΔE_f (raw) = -0.7223 eV per atom
data_SrTe2O
_cell_length_a 7.6024
_cell_length_b 7.6024
_cell_length_c 7.9111
_cell_angle_alpha 90.00
_cell_angle_beta 90.00
_cell_angle_gamma 90.00
_space_group_name_H-M_alt 'I -4 2 d'
_space_group_IT_number 122
_space_group_name_Hall 'I -4 2bw'
loop_
_atom_site_label
_atom_site_type_symbol
_atom_site_fract_x
_atom_site_fract_y
_atom_site_fract_z
_atom_site_occupancy
Sr1 Sr 0.0000 0.0000 0.0000 1
Te1 Te 0.1045 0.2500 0.6250 1
O1 O 0.0000 0.0000 0.5000 1

Entry 8:
# MgUCd2O6 | Alexandria via LeMat-Bulk | GGA-PBE | relaxed
# Theoretical density = 7.5 g cm⁻³
# ΔE_f (raw) = -2.2036 eV per atom
data_MgUCd2O6
_cell_length_a 5.5375
_cell_length_b 5.7236
_cell_length_c 9.8459
_cell_angle_alpha 90.00
_cell_angle_beta 124.19
_cell_angle_gamma 90.00
_space_group_name_H-M_alt 'P 1 21/c 1'
_space_group_IT_number 14
loop_
_space_group_symop_operation_xyz
'x,y,z'
'-x,-y,-z'
'-x,y+1/2,-z+1/2'
'x,-y+1/2,z+1/2'
loop_
_atom_site_label
_atom_site_type_symbol
_atom_site_fract_x
_atom_site_fract_y
_atom_site_fract_z
_atom_site_occupancy
Mg1 Mg 0.0000 0.0000 0.0000 1
U1 U 0.5000 0.0000 0.5000 1
Cd1 Cd 0.2414 0.0463 0.7502 1
O1 O 0.1336 0.1920 0.4414 1
O2 O 0.2533 0.6956 0.4390 1
O3 O 0.3603 0.0559 0.2501 1

Entry 9:
# CaRhC3 | Alexandria via LeMat-Bulk | GGA-PBE | relaxed
# Theoretical density = 4.0 g cm⁻³
# Polymorph energy (0 for the lowest one) = 1.9218 eV/atom
data_CaRhC3
_cell_length_a 4.2053
_cell_length_b 4.2053
_cell_length_c 4.2053
_cell_angle_alpha 90.00
_cell_angle_beta 90.00
_cell_angle_gamma 90.00
_space_group_name_H-M_alt 'P m -3 m'
_space_group_IT_number 221
_space_group_name_Hall '-P 4 2 3'
loop_
_atom_site_label
_atom_site_type_symbol
_atom_site_fract_x
_atom_site_fract_y
_atom_site_fract_z
_atom_site_occupancy
Ca1 Ca 0.0000 0.0000 0.0000 1
Rh1 Rh 0.5000 0.5000 0.5000 1
C1 C 0.0000 0.0000 0.5000 1

Entry 10:
# Sr2ZnSb3Ir4 | Alexandria via LeMat-Bulk | GGA-PBE | relaxed
# Theoretical density = 10.5 g cm⁻³
# ΔE_f (raw) = -0.4824 eV per atom
data_Sr2ZnSb3Ir4
_cell_length_a 4.4351
_cell_length_b 4.4351
_cell_length_c 11.0029
_cell_angle_alpha 90.00
_cell_angle_beta 90.00
_cell_angle_gamma 90.00
_space_group_name_H-M_alt 'P -4 m 2'
_space_group_IT_number 115
loop_
_space_group_symop_operation_xyz
'x,y,z'
'y,-x,-z'
'-x,-y,z'
'-y,x,-z'
'-x,y,z'
'-y,-x,-z'
'x,-y,z'
'y,x,-z'
loop_
_atom_site_label
_atom_site_type_symbol
_atom_site_fract_x
_atom_site_fract_y
_atom_site_fract_z
_atom_site_occupancy
Sr1 Sr 0.0000 0.5000 0.2423 1
Zn1 Zn 0.5000 0.5000 0.0000 1
Sb1 Sb 0.0000 0.0000 0.0000 1
Sb2 Sb 0.0000 0.5000 0.6354 1
Ir1 Ir 0.0000 0.0000 0.5000 1
Ir2 Ir 0.0000 0.5000 0.8725 1
Ir3 Ir 0.5000 0.5000 0.5000 1

| no. | Fermi-level density of states (states/eV per cell) | volume (Å³/f.u.) |
| --- | --- | --- |
| 1 | 16.647 | 199.6 |
| 2 | 36.041 | 397.8 |
| 3 | 6.427 | 72.5 |
| 4 | 21.898 | 65.1 |
| 5 | 21.990 | 377.7 |
| 6 | 23.008 | 186.6 |
| 7 | 0.751 | 114.3 |
| 8 | 0.000 | 129.1 |
| 9 | 4.609 | 74.4 |
| 10 | 5.858 | 216.4 |